# 1
Computed, not measured: a geometry-optimized NaHf2Au structure at the PBE-GGA level of DFT.

Computed properties:
For the spin magnetization, the calculation gives 0.000 Bohr magnetons per cell. The space group is Fm-3m (225).

The structure in POSCAR format:
```
NaHf2Au
1.0
2.9158 0.5431 3.8550
-1.9115 0.4746 4.4473
0.4483 -3.6027 3.2369
Hf Au Na
2 1 1
Direct
0.2500 0.2500 0.2500
0.7500 0.7500 0.7500
0.5000 0.5000 0.5000
0.0000 0.0000 0.0000
```

***

# 2
Computed, not measured: a geometry-optimized NaHfAu4 structure at the PBE-GGA level of DFT.

Computed properties:
For the spin magnetization, the calculation gives 0.000 Bohr magnetons per cell. The space group is C2/m (12).

The structure in POSCAR format:
```
NaHfAu4
1.0
-2.0893 0.2305 -2.7553
1.1280 -3.6948 -3.3439
-6.4776 -2.5738 2.5171
Na Hf Au
1 1 4
Direct
0.0000 0.0000 0.0000
0.5000 0.5000 0.5000
0.8489 0.4839 0.8184
0.3191 0.0203 0.3415
0.1511 0.5161 0.1816
0.6809 0.9797 0.6585
```

***

# 3
Computed, not measured: a geometry-optimized Na3HfAu structure at the PBE-GGA level of DFT.

Computed properties:
For the spin magnetization, the calculation gives 0.000 Bohr magnetons per cell. The space group is Pm-3m (221).

The structure in POSCAR format:
```
Na3HfAu
1.0
5.3882 0.0000 0.0000
0.0000 5.3882 0.0000
0.0000 0.0000 5.3882
Hf Au Na
1 1 3
Direct
0.5000 0.5000 0.5000
0.0000 0.0000 0.0000
0.0000 0.5000 0.0000
0.0000 0.0000 0.5000
0.5000 0.0000 0.0000
```

***

# 4
Computed, not measured: a geometry-optimized NaHfAu2 structure at the PBE-GGA level of DFT.

Computed properties:
For the spin magnetization, the calculation gives 0.000 Bohr magnetons per cell. The space group is P4/mmm (123).

The structure in POSCAR format:
```
NaHfAu2
1.0
-0.4598 2.6818 -1.4248
-2.4959 1.7295 4.0609
4.3481 1.7658 1.9203
Hf Au Na
1 2 1
Direct
0.5000 0.5000 0.5000
0.0000 0.0000 0.5000
0.0000 0.5000 0.0000
0.5000 0.0000 0.0000
```

***

Raw total energy / eV/atom: -5.855; -4.459; -2.595; -4.814
Formation energy / eV/atom: 0.271; -0.395; 0.843; -0.357